No. 1
A plane-wave DFT calculation with PBE was carried out for a relaxed structure of Rb3HgF.

Calculated values
**Offset from the most stable computed form**: 0.0000 eV/atom
**DOS at the Fermi energy**: 0.643 states/eV per atom

Cell lengths 5.794, 5.794, 5.794 Å; angles 90.00, 90.00, 90.00 degrees
Space group Pm-3m (No. 221)
One atom of each set of equivalent atoms:
Rb  0.000  0.000  0.500 x3
Hg  0.500  0.500  0.500 x1
F  0.000  0.000  0.000 x1

No. 2
A plane-wave DFT calculation with PBE was carried out for a relaxed structure of RbHgF3.

Calculated values
**DOS at the Fermi energy**: 0.196 states/eV per atom

Cell lengths 4.603, 16.017, 5.304 Å; angles 90.00, 90.00, 90.00 degrees
Space group Cmcm (No. 63)
One atom of each set of equivalent atoms:
Rb  0.000  0.173  0.250 x4
Hg  0.000  0.452  0.250 x4
F  0.000  0.000  0.000 x4
F  0.245  0.168  0.750 x8

No. 3
A plane-wave DFT calculation with PBE was carried out for a relaxed structure of Rb5Hg3F12.

Calculated values
**Offset from the most stable computed form**: 0.0000 eV/atom
**DOS at the Fermi energy**: 0.648 states/eV per atom

Cell lengths 11.1941, 11.1941, 3.8239 Å; angles 90.00, 90.00, 120.00 degrees
Space group P-62m (No. 189)
One atom of each set of equivalent atoms:
Rb  0.0000  0.7215  0.0000 x3
Rb  0.3333  0.6667  0.0000 x2
Hg  0.0000  0.3413  0.5000 x3
F  0.0000  0.2095  0.0000 x3
F  0.0000  0.4707  0.0000 x3
F  0.2180  0.7753  0.5000 x6

No. 4
A plane-wave DFT calculation with PBE was carried out for a relaxed structure of Rb2Hg2F7.

Calculated values
**Offset from the most stable computed form**: 0.0000 eV/atom
**DOS at the Fermi energy**: 0.604 states/eV per atom

Cell lengths 7.586, 8.587, 6.347 Å; angles 90.00, 90.00, 90.00 degrees
Space group Cmmm (No. 65)
One atom of each set of equivalent atoms:
Rb  0.234  0.000  0.000 x4
Hg  0.000  0.274  0.500 x4
F  0.000  0.000  0.500 x2
F  0.000  0.500  0.285 x4
F  0.250  0.250  0.283 x8

No. 5
A plane-wave DFT calculation with PBE was carried out for a relaxed structure of Rb2Hg3F9.

Calculated values
**DOS at the Fermi energy**: 0.297 states/eV per atom

Cell lengths 10.639, 12.286, 9.425 Å; angles 90.00, 112.42, 90.00 degrees
Space group C2/c (No. 15)
One atom of each set of equivalent atoms:
Rb  0.196  0.005  0.241 x8
Hg  0.080  0.252  0.492 x8
Hg  0.250  0.250  0.000 x4
F  0.000  0.176  0.250 x4
F  0.047  0.127  0.958 x8
F  0.118  0.367  0.037 x8
F  0.176  0.289  0.753 x8
F  0.220  0.372  0.466 x8

No. 6
A plane-wave DFT calculation with PBE was carried out for a relaxed structure of RbHgF3.

Calculated values
**DOS at the Fermi energy**: 0.000 states/eV per atom

Cell lengths 3.660, 3.661, 6.996 Å; angles 90.00, 90.09, 90.00 degrees
Space group P2/m (No. 10)
One atom of each set of equivalent atoms:
Rb  0.000  0.000  0.000 x1
Hg  0.500  0.500  0.500 x1
F  0.000  0.000  0.500 x1
F  0.500  0.500  0.198 x2

No. 7
A plane-wave DFT calculation with PBE was carried out for a relaxed structure of RbHg2F5.

Calculated values
**Offset from the most stable computed form**: 0.0128 eV/atom

Cell lengths 3.713, 6.002, 12.221 Å; angles 90.00, 90.00, 90.00 degrees
Space group Immm (No. 71)
One atom of each set of equivalent atoms:
Rb  0.000  0.000  0.000 x2
Hg  0.000  0.500  0.186 x4
F  0.000  0.263  0.341 x8
F  0.000  0.500  0.000 x2

No. 8
A plane-wave DFT calculation with PBE was carried out for a relaxed structure of RbHg2F5.

Calculated values
**Offset from the most stable computed form**: 0.0000 eV/atom

Cell lengths 4.645, 12.225, 11.398 Å; angles 90.00, 90.00, 90.00 degrees
Space group Cmcm (No. 63)
One atom of each set of equivalent atoms:
Rb  0.000  0.082  0.250 x4
Hg  0.000  0.360  0.056 x8
F  0.000  0.176  0.504 x8
F  0.000  0.310  0.250 x4
F  0.000  0.460  0.616 x8

No. 9
A plane-wave DFT calculation with PBE was carried out for a relaxed structure of RbHgF.

Calculated values
**Offset from the most stable computed form**: 0.0000 eV/atom
**DOS at the Fermi energy**: 0.000 states/eV per atom

Cell lengths 3.970, 3.972, 11.411 Å; angles 89.90, 89.99, 90.00 degrees
Space group P1 (No. 1)
One atom of each set of equivalent atoms:
Rb  0.000  0.000  0.000 x1
Rb  0.500  0.498  0.256 x1
Hg  0.001  0.998  0.538 x1
Hg  0.501  0.498  0.719 x1
F  0.000  0.998  0.247 x1
F  0.500  0.500  0.009 x1

No. 10
A plane-wave DFT calculation with PBE was carried out for a relaxed structure of Rb3Hg2F6.

Calculated values
**DOS at the Fermi energy**: 0.195 states/eV per atom

Cell lengths 4.804, 4.804, 20.007 Å; angles 90.00, 90.00, 90.00 degrees
Space group I4/mmm (No. 139)
One atom of each set of equivalent atoms:
Rb  0.000  0.000  0.000 x2
Rb  0.000  0.000  0.179 x4
Hg  0.000  0.000  0.428 x4
F  0.000  0.000  0.313 x4
F  0.000  0.500  0.082 x8

No. 11
A plane-wave DFT calculation with PBE was carried out for a relaxed structure of RbHgF3.

Calculated values
**DOS at the Fermi energy**: 0.000 states/eV per atom

Cell lengths 3.621, 7.453, 11.919 Å; angles 90.00, 90.00, 90.00 degrees
Space group Amm2 (No. 38)
One atom of each set of equivalent atoms:
Rb  0.000  0.000  0.000 x2
Hg  0.500  0.000  0.341 x2
F  0.000  0.186  0.382 x4
F  0.500  0.000  0.156 x2

No. 12
A plane-wave DFT calculation with PBE was carried out for a relaxed structure of Rb4Hg2F9.

Calculated values
**DOS at the Fermi energy**: 0.418 states/eV per atom

Cell lengths 6.672, 6.967, 15.940 Å; angles 85.38, 89.99, 61.39 degrees
Space group P-1 (No. 2)
One atom of each set of equivalent atoms:
Rb  0.068  0.183  0.288 x2
Rb  0.182  0.106  0.031 x2
Rb  0.212  0.106  0.531 x2
Rb  0.250  0.182  0.788 x2
Hg  0.424  0.551  0.382 x2
Hg  0.475  0.450  0.118 x2
F  0.064  0.783  0.334 x2
F  0.135  0.720  0.106 x2
F  0.196  0.839  0.882 x2
F  0.238  0.673  0.547 x2
F  0.346  0.218  0.166 x2
F  0.353  0.282  0.394 x2
F  0.385  0.500  0.750 x2
F  0.410  0.326  0.952 x2
F  0.466  0.840  0.382 x2

No. 13
A plane-wave DFT calculation with PBE was carried out for a relaxed structure of Rb2HgF.

Calculated values
**Offset from the most stable computed form**: 0.0000 eV/atom
**DOS at the Fermi energy**: 0.485 states/eV per atom

Cell lengths 4.1691, 4.1691, 27.4582 Å; angles 90.00, 90.00, 120.00 degrees
Space group R-3m (No. 166, hexagonal axes)
One atom of each set of equivalent atoms:
Rb  0.0000  0.0000  0.2266 x6
Hg  0.0000  0.0000  0.0000 x3
F  0.0000  0.0000  0.5000 x3

No. 14
A plane-wave DFT calculation with PBE was carried out for a relaxed structure of RbHg2F8.

Calculated values
**Offset from the most stable computed form**: 0.0445 eV/atom
**DOS at the Fermi energy**: 0.295 states/eV per atom

Cell lengths 6.680, 12.932, 4.266 Å; angles 90.00, 92.01, 90.00 degrees
Space group C2/m (No. 12)
One atom of each set of equivalent atoms:
Rb  0.000  0.000  0.000 x2
Hg  0.000  0.333  0.500 x4
F  0.000  0.297  0.000 x4
F  0.070  0.500  0.802 x4
F  0.194  0.148  0.514 x8

No. 15
A plane-wave DFT calculation with PBE was carried out for a relaxed structure of Rb2HgF.

Calculated values
**Offset from the most stable computed form**: 0.0123 eV/atom
**DOS at the Fermi energy**: 0.532 states/eV per atom

Cell lengths 8.308, 8.308, 9.808 Å; angles 90.00, 90.00, 90.00 degrees
Space group I-42d (No. 122)
One atom of each set of equivalent atoms:
Rb  0.140  0.250  0.125 x8
Hg  0.000  0.000  0.500 x4
F  0.000  0.000  0.000 x4

No. 16
A plane-wave DFT calculation with PBE was carried out for a relaxed structure of Rb2HgRhF6.

Calculated values
**DOS at the Fermi energy**: 0.799 states/eV per atom

Cell lengths 6.345, 6.345, 8.937 Å; angles 90.00, 90.00, 90.00 degrees
Space group I4/mmm (No. 139)
One atom of each set of equivalent atoms:
Rb  0.000  0.500  0.250 x4
Hg  0.000  0.000  0.000 x2
Rh  0.000  0.000  0.500 x2
F  0.000  0.000  0.269 x4
F  0.230  0.230  0.500 x8

No. 17
A plane-wave DFT calculation with PBE was carried out for a relaxed structure of Rb2HgRuF6.

Calculated values
**DOS at the Fermi energy**: 0.873 states/eV per atom

Cell lengths 9.663, 9.663, 9.663 Å; angles 90.00, 90.00, 90.00 degrees
Space group Fm-3m (No. 225)
One atom of each set of equivalent atoms:
Rb  0.250  0.250  0.250 x8
Hg  0.000  0.000  0.000 x4
Ru  0.000  0.000  0.500 x4
F  0.000  0.000  0.297 x24

No. 18
A plane-wave DFT calculation with PBE was carried out for a relaxed structure of RbHgRuF6.

Calculated values
**DOS at the Fermi energy**: 0.085 states/eV per atom

Cell lengths 7.578, 7.674, 10.723 Å; angles 90.00, 90.00, 90.00 degrees
Space group Imma (No. 74)
One atom of each set of equivalent atoms:
Rb  0.000  0.250  0.100 x4
Hg  0.000  0.000  0.500 x4
Ru  0.250  0.250  0.750 x4
F  0.000  0.250  0.386 x4
F  0.000  0.250  0.680 x4
F  0.214  0.069  0.879 x16

No. 19
A plane-wave DFT calculation with PBE was carried out for a relaxed structure of Rb2HgSbF6.

Calculated values
**DOS at the Fermi energy**: 0.409 states/eV per atom

Cell lengths 6.877, 6.877, 9.711 Å; angles 90.00, 90.00, 90.00 degrees
Space group I4/mmm (No. 139)
One atom of each set of equivalent atoms:
Rb  0.000  0.500  0.250 x4
Hg  0.000  0.000  0.000 x2
Sb  0.000  0.000  0.500 x2
F  0.000  0.000  0.284 x4
F  0.216  0.216  0.500 x8

No. 20
A plane-wave DFT calculation with PBE was carried out for a relaxed structure of RbScHgF6.

Calculated values
**DOS at the Fermi energy**: 0.000 states/eV per atom

Cell lengths 6.0005, 6.0005, 5.7280 Å; angles 90.00, 90.00, 120.00 degrees
Space group P312 (No. 149)
One atom of each set of equivalent atoms:
Rb  0.0000  0.0000  0.0000 x1
Sc  0.3333  0.6667  0.5000 x1
Hg  0.6667  0.3333  0.5000 x1
F  0.0365  0.3987  0.6993 x6

Number 1: formation energy without anion corrections -1096 meV per atom. Number 2: formation energy without anion corrections -1544 meV per atom. Number 3: formation energy without anion corrections -2077 meV per atom. Number 4: formation energy without anion corrections -1781 meV per atom. Number 5: formation energy without anion corrections -1758 meV per atom. Number 6: formation energy without anion corrections -1984 meV per atom. Number 7: formation energy without anion corrections -1764 meV per atom. Number 8: formation energy without anion corrections -1776 meV per atom. Number 9: formation energy without anion corrections -1722 meV per atom. Number 10: formation energy without anion corrections -2037 meV per atom. Number 11: formation energy without anion corrections -1871 meV per atom. Number 12: formation energy without anion corrections -2083 meV per atom. Number 13: formation energy without anion corrections -1340 meV per atom. Number 14: formation energy without anion corrections -1315 meV per atom. Number 15: formation energy without anion corrections -1328 meV per atom. Number 16: formation energy without anion corrections -1944 meV per atom. Number 17: formation energy without anion corrections -2000 meV per atom. Number 18: formation energy without anion corrections -1859 meV per atom. Number 19: formation energy without anion corrections -2227 meV per atom. Number 20: formation energy without anion corrections -2878 meV per atom.